{"formula": "LiCoW2", "functional": "GGA-PBE", "state": "relaxed", "lattice_angstrom": [[2.6704, 0.0000, 0.0000], [0.0000, 3.7517, 0.0000], [0.0000, 0.0000, 5.3679]], "species": ["Co", "W", "W", "Li"], "frac_coords": [[0.5000, 0.5000, 0.2500], [0.0000, 0.0000, 0.4999], [0.0000, 0.0000, 0.0001], [0.5000, 0.5000, 0.7500]], "e_above_lowest_polymorph_ev_per_atom": 0.113, "spacegroup": "Pmmm"}



{"formula": "LiCo2W", "functional": "GGA-PBE", "state": "relaxed", "lattice_angstrom": [[2.5899, 0.0000, 0.0000], [0.0000, 3.8564, 0.0000], [0.0000, 0.0000, 4.8923]], "species": ["Co", "Co", "W", "Li"], "frac_coords": [[0.5000, 0.5000, 0.2776], [0.0000, 0.0000, 0.9879], [0.5000, 0.5000, 0.7660], [0.0000, 0.0000, 0.4685]], "spacegroup": "Pmm2"}



{"formula": "Li2Co2W", "functional": "GGA-PBE", "state": "relaxed", "lattice_angstrom": [[3.9137, 0.0000, 0.0000], [0.0000, 3.9137, 0.0000], [1.9569, 1.9569, 3.6483]], "species": ["Co", "Co", "W", "Li", "Li"], "frac_coords": [[0.7500, 0.2500, 0.5000], [0.2500, 0.7500, 0.5000], [0.0000, 0.0000, 0.0000], [0.3819, 0.3819, 0.2362], [0.6181, 0.6181, 0.7638]], "e_above_lowest_polymorph_ev_per_atom": 0.149, "spacegroup": "I4/mmm"}



no.,theoretical density (Mg/m³),calculated formation energy (kcal/mol of atoms),magnetic moment (μB per formula unit)
1,13.39,9.31,0.0
2,10.49,6.85,0.3
3,9.38,12.67,0.0